1.
# CrFeAsBr2 (GGA-PBEsol, optimized geometry)
data_CrFeAsBr2
_symmetry_space_group_name_H-M 'P 4/m m m'
_symmetry_Int_Tables_number 123
_symmetry_space_group_name_Hall '-P 4 2'
_cell_length_a 5.001
_cell_length_b 5.001
_cell_length_c 4.425
_cell_angle_alpha 90.00
_cell_angle_beta 90.00
_cell_angle_gamma 90.00
loop_
_atom_site_label
_atom_site_fract_x
_atom_site_fract_y
_atom_site_fract_z
Cr1 0.000 0.000 0.000
Fe1 0.500 0.500 0.500
As1 0.500 0.500 0.000
Br1 0.000 0.500 0.500
# final energy	-5.03	eV/atom
# DOS at the Fermi energy	1.04	states/eV per atom
# uncorrected formation energy	0.58	eV per atom

2.
# NaP3N (GGA-PBEsol, optimized geometry)
data_NaP3N
_symmetry_space_group_name_H-M 'P m -3 m'
_symmetry_Int_Tables_number 221
_symmetry_space_group_name_Hall '-P 4 2 3'
_cell_length_a 4.789
_cell_length_b 4.789
_cell_length_c 4.789
_cell_angle_alpha 90.00
_cell_angle_beta 90.00
_cell_angle_gamma 90.00
loop_
_atom_site_label
_atom_site_fract_x
_atom_site_fract_y
_atom_site_fract_z
Na1 0.000 0.000 0.000
P1 0.000 0.000 0.500
N1 0.500 0.500 0.500
# final energy	-2.89	eV/atom
# DOS at the Fermi energy	0.73	states/eV per atom
# uncorrected formation energy	2.57	eV per atom

3.
# LiTl2Hg (GGA-PBEsol, optimized geometry)
data_LiTl2Hg
_symmetry_space_group_name_H-M 'I -4 m 2'
_symmetry_Int_Tables_number 119
_symmetry_space_group_name_Hall 'I -4 -2'
_cell_length_a 4.443
_cell_length_b 4.443
_cell_length_c 9.627
_cell_angle_alpha 90.00
_cell_angle_beta 90.00
_cell_angle_gamma 90.00
loop_
_atom_site_label
_atom_site_fract_x
_atom_site_fract_y
_atom_site_fract_z
Li1 0.000 0.000 0.000
Tl1 0.000 0.000 0.500
Tl2 0.000 0.500 0.250
Hg1 0.000 0.500 0.750
# calculated formation energy	-0.136	eV per atom
# final energy	-2.08	eV/atom
# DOS at the Fermi energy	0.38	states/eV per atom
# ΔE to the lowest computed polymorph	0.025	eV/atom

4.
# Ga2CoH (GGA-PBEsol, optimized geometry)
data_Ga2CoH
_symmetry_space_group_name_H-M 'I -4 2 d'
_symmetry_Int_Tables_number 122
_symmetry_space_group_name_Hall 'I -4 2bw'
_cell_length_a 5.634
_cell_length_b 5.634
_cell_length_c 5.618
_cell_angle_alpha 90.00
_cell_angle_beta 90.00
_cell_angle_gamma 90.00
loop_
_atom_site_label
_atom_site_fract_x
_atom_site_fract_y
_atom_site_fract_z
Ga1 0.185 0.250 0.125
Co1 0.000 0.000 0.500
H1 0.000 0.000 0.000
# final energy	-4.24	eV/atom
# DOS at the Fermi energy	0.56	states/eV per atom

5.
# BaTaF7 (GGA-PBEsol, optimized geometry)
data_BaTaF7
_symmetry_space_group_name_H-M 'P 1 21/c 1'
_symmetry_Int_Tables_number 14
_symmetry_space_group_name_Hall '-P 2ybc'
_cell_length_a 5.574
_cell_length_b 9.878
_cell_length_c 10.128
_cell_angle_alpha 90.00
_cell_angle_beta 91.94
_cell_angle_gamma 90.00
loop_
_atom_site_label
_atom_site_fract_x
_atom_site_fract_y
_atom_site_fract_z
Ba1 0.192 0.173 0.010
Ta1 0.325 0.606 0.184
F1 0.034 0.690 0.240
F2 0.109 0.543 0.617
F3 0.174 0.058 0.630
F4 0.256 0.697 0.019
F5 0.382 0.049 0.386
F6 0.391 0.539 0.360
F7 0.487 0.240 0.758
# final energy	-6.57	eV/atom
# DOS at the Fermi energy	0.00	states/eV per atom
# uncorrected formation energy	-3.44	eV per atom
# ΔE to the lowest computed polymorph	0.111	eV/atom

6.
# SiHg (GGA-PBEsol, optimized geometry)
data_SiHg
_symmetry_space_group_name_H-M 'C m c m'
_symmetry_Int_Tables_number 63
_symmetry_space_group_name_Hall '-C 2c 2'
_cell_length_a 2.989
_cell_length_b 16.528
_cell_length_c 3.473
_cell_angle_alpha 90.00
_cell_angle_beta 90.00
_cell_angle_gamma 90.00
loop_
_atom_site_label
_atom_site_fract_x
_atom_site_fract_y
_atom_site_fract_z
Si1 0.000 0.223 0.250
Hg1 0.000 0.069 0.250
# final energy	-2.94	eV/atom
# DOS at the Fermi energy	0.31	states/eV per atom
# uncorrected formation energy	0.22	eV per atom
# ΔE to the lowest computed polymorph	0.000	eV/atom

7.
# MgV2P2O8 (GGA-PBEsol, optimized geometry)
data_MgV2P2O8
_symmetry_space_group_name_H-M 'C 1 2/c 1'
_symmetry_Int_Tables_number 15
_symmetry_space_group_name_Hall '-C 2yc'
_cell_length_a 15.851
_cell_length_b 4.723
_cell_length_c 17.165
_cell_angle_alpha 90.00
_cell_angle_beta 115.93
_cell_angle_gamma 90.00
loop_
_atom_site_label
_atom_site_fract_x
_atom_site_fract_y
_atom_site_fract_z
Mg1 0.164 0.153 0.166
V1 0.000 0.183 0.250
V2 0.090 0.230 0.461
V3 0.250 0.250 0.000
P1 0.019 0.287 0.620
P2 0.225 0.208 0.369
O1 0.040 0.390 0.140
O2 0.057 0.120 0.705
O3 0.073 0.162 0.572
O4 0.089 0.272 0.940
O5 0.123 0.219 0.357
O6 0.219 0.105 0.550
O7 0.233 0.329 0.289
O8 0.234 0.404 0.111
# final energy	-7.87	eV/atom
# DOS at the Fermi energy	0.25	states/eV per atom
# uncorrected formation energy	-2.14	eV per atom

8.
# Sc2TiAgSe (GGA-PBEsol, optimized geometry)
data_Sc2TiAgSe
_symmetry_space_group_name_H-M 'P 4/m m m'
_symmetry_Int_Tables_number 123
_symmetry_space_group_name_Hall '-P 4 2'
_cell_length_a 5.105
_cell_length_b 5.105
_cell_length_c 4.896
_cell_angle_alpha 90.00
_cell_angle_beta 90.00
_cell_angle_gamma 90.00
loop_
_atom_site_label
_atom_site_fract_x
_atom_site_fract_y
_atom_site_fract_z
Sc1 0.000 0.500 0.000
Ti1 0.000 0.000 0.500
Ag1 0.500 0.500 0.000
Se1 0.500 0.500 0.500
# final energy	-5.04	eV/atom
# DOS at the Fermi energy	1.39	states/eV per atom
# uncorrected formation energy	0.70	eV per atom

9.
# MnZnGa4Se8 (GGA-PBEsol, optimized geometry)
data_MnZnGa4Se8
_symmetry_space_group_name_H-M 'P -4'
_symmetry_Int_Tables_number 81
_symmetry_space_group_name_Hall 'P -4'
_cell_length_a 5.534
_cell_length_b 5.534
_cell_length_c 10.845
_cell_angle_alpha 90.00
_cell_angle_beta 90.00
_cell_angle_gamma 90.00
loop_
_atom_site_label
_atom_site_fract_x
_atom_site_fract_y
_atom_site_fract_z
Mn1 0.000 0.000 0.000
Zn1 0.500 0.500 0.500
Ga1 0.000 0.000 0.500
Ga2 0.000 0.500 0.252
Ga3 0.500 0.500 0.000
Se1 0.231 0.263 0.634
Se2 0.240 0.730 0.864
# final energy	-4.52	eV/atom
# uncorrected formation energy	-0.55	eV per atom

10.
# ZnSbPCl2 (GGA-PBEsol, optimized geometry)
data_ZnSbPCl2
_symmetry_space_group_name_H-M 'P 4/m m m'
_symmetry_Int_Tables_number 123
_symmetry_space_group_name_Hall '-P 4 2'
_cell_length_a 5.099
_cell_length_b 5.099
_cell_length_c 5.217
_cell_angle_alpha 90.00
_cell_angle_beta 90.00
_cell_angle_gamma 90.00
loop_
_atom_site_label
_atom_site_fract_x
_atom_site_fract_y
_atom_site_fract_z
Zn1 0.000 0.000 0.000
Sb1 0.500 0.500 0.500
P1 0.500 0.500 0.000
Cl1 0.000 0.500 0.500
# final energy	-2.91	eV/atom
# DOS at the Fermi energy	0.40	states/eV per atom
# uncorrected formation energy	0.28	eV per atom
# ΔE to the lowest computed polymorph	0.238	eV/atom

11.
# NaHfCuCl2 (GGA-PBEsol, optimized geometry)
data_NaHfCuCl2
_symmetry_space_group_name_H-M 'P 4/m m m'
_symmetry_Int_Tables_number 123
_symmetry_space_group_name_Hall '-P 4 2'
_cell_length_a 4.612
_cell_length_b 4.612
_cell_length_c 5.030
_cell_angle_alpha 90.00
_cell_angle_beta 90.00
_cell_angle_gamma 90.00
loop_
_atom_site_label
_atom_site_fract_x
_atom_site_fract_y
_atom_site_fract_z
Na1 0.000 0.000 0.000
Hf1 0.500 0.500 0.500
Cu1 0.000 0.000 0.500
Cl1 0.000 0.500 0.000
# final energy	-3.70	eV/atom
# DOS at the Fermi energy	0.69	states/eV per atom
# uncorrected formation energy	0.36	eV per atom

12.
# HfMoSe2N (GGA-PBEsol, optimized geometry)
data_HfMoSe2N
_symmetry_space_group_name_H-M 'P 4/m m m'
_symmetry_Int_Tables_number 123
_symmetry_space_group_name_Hall '-P 4 2'
_cell_length_a 5.174
_cell_length_b 5.174
_cell_length_c 3.870
_cell_angle_alpha 90.00
_cell_angle_beta 90.00
_cell_angle_gamma 90.00
loop_
_atom_site_label
_atom_site_fract_x
_atom_site_fract_y
_atom_site_fract_z
Hf1 0.000 0.000 0.000
Mo1 0.500 0.500 0.500
Se1 0.000 0.500 0.000
N1 0.000 0.000 0.500
# final energy	-7.30	eV/atom
# DOS at the Fermi energy	0.53	states/eV per atom
# uncorrected formation energy	0.40	eV per atom

13.
# Fe2CuNiIr (GGA-PBEsol, optimized geometry)
data_Fe2CuNiIr
_symmetry_space_group_name_H-M 'P 4/m m m'
_symmetry_Int_Tables_number 123
_symmetry_space_group_name_Hall '-P 4 2'
_cell_length_a 4.137
_cell_length_b 4.137
_cell_length_c 4.178
_cell_angle_alpha 90.00
_cell_angle_beta 90.00
_cell_angle_gamma 90.00
loop_
_atom_site_label
_atom_site_fract_x
_atom_site_fract_y
_atom_site_fract_z
Fe1 0.000 0.500 0.000
Cu1 0.000 0.000 0.500
Ni1 0.000 0.000 0.000
Ir1 0.500 0.500 0.500
# calculated formation energy	1.210	eV per atom
# final energy	-6.44	eV/atom
# DOS at the Fermi energy	0.89	states/eV per atom

14.
# RbScNb2 (GGA-PBEsol, optimized geometry)
data_RbScNb2
_symmetry_space_group_name_H-M 'F m -3 m'
_symmetry_Int_Tables_number 225
_symmetry_space_group_name_Hall '-F 4 2 3'
_cell_length_a 7.151
_cell_length_b 7.151
_cell_length_c 7.151
_cell_angle_alpha 90.00
_cell_angle_beta 90.00
_cell_angle_gamma 90.00
loop_
_atom_site_label
_atom_site_fract_x
_atom_site_fract_y
_atom_site_fract_z
Rb1 0.000 0.000 0.000
Sc1 0.000 0.000 0.500
Nb1 0.250 0.250 0.250
# calculated formation energy	1.645	eV per atom
# final energy	-5.67	eV/atom
# DOS at the Fermi energy	1.68	states/eV per atom

15.
# Cd4Au5 (GGA-PBEsol, optimized geometry)
data_Cd4Au5
_symmetry_space_group_name_H-M 'P 63/m c m'
_symmetry_Int_Tables_number 193
_symmetry_space_group_name_Hall '-P 6c 2'
_cell_length_a 8.1669
_cell_length_b 8.1669
_cell_length_c 5.6889
_cell_angle_alpha 90.00
_cell_angle_beta 90.00
_cell_angle_gamma 120.00
loop_
_atom_site_label
_atom_site_fract_x
_atom_site_fract_y
_atom_site_fract_z
Cd1 0.0000 0.0000 0.0000
Cd2 0.0000 0.3619 0.2500
Au1 0.0000 0.3058 0.7500
Au2 0.3333 0.6667 0.0000
# calculated formation energy	-0.127	eV per atom
# final energy	-2.84	eV/atom
# DOS at the Fermi energy	0.23	states/eV per atom

16.
# Cs2NaCaBe (GGA-PBEsol, optimized geometry)
data_Cs2NaCaBe
_symmetry_space_group_name_H-M 'P 4/m m m'
_symmetry_Int_Tables_number 123
_symmetry_space_group_name_Hall '-P 4 2'
_cell_length_a 6.862
_cell_length_b 6.862
_cell_length_c 5.804
_cell_angle_alpha 90.00
_cell_angle_beta 90.00
_cell_angle_gamma 90.00
loop_
_atom_site_label
_atom_site_fract_x
_atom_site_fract_y
_atom_site_fract_z
Cs1 0.000 0.500 0.000
Na1 0.000 0.000 0.500
Ca1 0.500 0.500 0.500
Be1 0.000 0.000 0.000
# calculated formation energy	0.674	eV per atom
# final energy	-1.21	eV/atom
# DOS at the Fermi energy	0.92	states/eV per atom

17.
# SrOsW (GGA-PBEsol, optimized geometry)
data_SrOsW
_symmetry_space_group_name_H-M 'I 4 m m'
_symmetry_Int_Tables_number 107
_symmetry_space_group_name_Hall 'I 4 -2'
_cell_length_a 3.192
_cell_length_b 3.192
_cell_length_c 12.478
_cell_angle_alpha 90.00
_cell_angle_beta 90.00
_cell_angle_gamma 90.00
loop_
_atom_site_label
_atom_site_fract_x
_atom_site_fract_y
_atom_site_fract_z
Sr1 0.000 0.000 0.000
Os1 0.000 0.000 0.303
W1 0.000 0.000 0.711
# calculated formation energy	0.644	eV per atom
# final energy	-8.64	eV/atom
# DOS at the Fermi energy	1.29	states/eV per atom

18.
# ZrRe2Rh (GGA-PBEsol, optimized geometry)
data_ZrRe2Rh
_symmetry_space_group_name_H-M 'P m m m'
_symmetry_Int_Tables_number 47
_symmetry_space_group_name_Hall '-P 2 2'
_cell_length_a 2.711
_cell_length_b 3.952
_cell_length_c 5.952
_cell_angle_alpha 90.00
_cell_angle_beta 90.00
_cell_angle_gamma 90.00
loop_
_atom_site_label
_atom_site_fract_x
_atom_site_fract_y
_atom_site_fract_z
Zr1 0.000 0.000 0.000
Re1 0.500 0.500 0.285
Rh1 0.000 0.000 0.500
# calculated formation energy	0.080	eV per atom
# final energy	-10.89	eV/atom
# DOS at the Fermi energy	0.87	states/eV per atom
# ΔE to the lowest computed polymorph	0.182	eV/atom

19.
# NiTe2As (GGA-PBEsol, optimized geometry)
data_NiTe2As
_symmetry_space_group_name_H-M 'P 4/m m m'
_symmetry_Int_Tables_number 123
_symmetry_space_group_name_Hall '-P 4 2'
_cell_length_a 3.366
_cell_length_b 3.366
_cell_length_c 6.955
_cell_angle_alpha 90.00
_cell_angle_beta 90.00
_cell_angle_gamma 90.00
loop_
_atom_site_label
_atom_site_fract_x
_atom_site_fract_y
_atom_site_fract_z
Ni1 0.000 0.000 0.000
Te1 0.500 0.500 0.222
As1 0.000 0.000 0.500
# final energy	-4.25	eV/atom
# DOS at the Fermi energy	0.72	states/eV per atom
# uncorrected formation energy	0.33	eV per atom

20.
# KCo3 (GGA-PBEsol, optimized geometry)
data_KCo3
_symmetry_space_group_name_H-M 'C 1 2/m 1'
_symmetry_Int_Tables_number 12
_symmetry_space_group_name_Hall '-C 2y'
_cell_length_a 8.103
_cell_length_b 2.587
_cell_length_c 6.627
_cell_angle_alpha 90.00
_cell_angle_beta 95.08
_cell_angle_gamma 90.00
loop_
_atom_site_label
_atom_site_fract_x
_atom_site_fract_y
_atom_site_fract_z
K1 0.000 0.000 0.000
Co1 0.000 0.500 0.500
Co2 0.224 0.000 0.634
# calculated formation energy	0.757	eV per atom
# final energy	-5.33	eV/atom
# DOS at the Fermi energy	0.95	states/eV per atom
# ΔE to the lowest computed polymorph	0.043	eV/atom

no.,total magnetization (μB/cell)
1,6.142
2,2.667
3,0.000
4,0.005
5,0.165
6,0.000
7,48.000
8,3.753
9,5.000
10,0.000
11,0.497
12,3.440
13,7.384
14,13.972
15,0.000
16,0.000
17,0.001
18,0.000
19,0.000
20,9.849